Compound: CdRu2Cl
Source: Alexandria
Functional: PBE-GGA
Structure: optimized geometry

Computed properties:
Size of the total moment ... 1.4 μB/cell
Total energy ... -4.561 eV per atom
Offset from the most stable computed form ... 670.5 meV/atom

Cell: 5.5124 5.5124 2.9219 Å, 104.72 104.72 119.06°
Positions (direct):
Cd  0.0000  0.0000  0.0000
Ru  0.0000  0.5000  0.5000
Ru  0.5000  0.0000  0.5000
Cl  0.5000  0.5000  0.0000